1.
The following is a PBE with a Hubbard U calculation of a relaxed structure of Ca2NiF6, from Alexandria.

Structure (CIF):
```
data_Ca2NiF6
_chemical_formula_sum 'Ca4 Ni2 F12'
_cell_length_a 4.114
_cell_length_b 4.114
_cell_length_c 16.297
_cell_angle_alpha 90.00
_cell_angle_beta 90.00
_cell_angle_gamma 90.00
_space_group_name_H-M_alt 'I -4 2 m'
_space_group_IT_number 121
_space_group_name_Hall 'I -4 2'
loop_
_atom_site_label
_atom_site_fract_x
_atom_site_fract_y
_atom_site_fract_z
Ca1 0.000 0.000 0.175
Ni1 0.000 0.000 0.500
F1 0.000 0.500 0.250
F2 0.228 0.228 0.415
```

Calculated values
- N(E_F): 0.00 states/eV/f.u.
- Spin magnetization: 4.0 Bohr magnetons per cell

=====

2.
The following is a PBE with a Hubbard U calculation of a relaxed structure of Ca2NiF6, from Alexandria.

Structure (CIF):
```
data_Ca2NiF6
_chemical_formula_sum 'Ca4 Ni2 F12'
_cell_length_a 5.065
_cell_length_b 5.065
_cell_length_c 10.231
_cell_angle_alpha 90.00
_cell_angle_beta 90.00
_cell_angle_gamma 90.00
_space_group_name_H-M_alt 'P 42/m n m'
_space_group_IT_number 136
_space_group_name_Hall '-P 4n 2n'
loop_
_atom_site_label
_atom_site_fract_x
_atom_site_fract_y
_atom_site_fract_z
Ca1 0.000 0.000 0.166
Ni1 0.000 0.000 0.500
F1 0.186 0.186 0.347
F2 0.214 0.214 0.000
```

Calculated values
- N(E_F): 0.00 states/eV/f.u.
- Spin magnetization: 4.2 Bohr magnetons per cell

=====

Taking the most stable structure as the zero point, the relative energies in meV/atom are 1 145; 2 0.